! TlV2Ge, optimized geometry, DFT PBE; values from VASP
! * M_tot: 0.005 μB per cell
! * ΔE_f: 67.2 kJ per mole of atoms
&SYSTEM
  ibrav = 0, nat = 8, ntyp = 3
/
ATOMIC_SPECIES
Tl 204.38 Tl.upf
V 50.94 V.upf
Ge 72.64 Ge.upf
ATOMIC_POSITIONS crystal
Tl 0.0000 0.0000 0.0000
Tl 0.7500 0.2500 0.5000
V 0.2693 0.6250 0.1443
V 0.3750 0.5193 0.6443
V 0.4807 0.1250 0.8557
V 0.8750 0.7307 0.3557
Ge 0.2500 0.7500 0.5000
Ge 0.5000 0.5000 0.0000
CELL_PARAMETERS angstrom
-2.0772 2.0772 9.1747
2.0772 -2.0772 9.1747
2.0772 2.0772 -9.1747